# GGA-PBE Cu8PtAu2, relaxed
# energy = -0.1520 hartree per atom
data_Cu8PtAu2
_space_group_name_H-M_alt 'I m m m'
_space_group_IT_number 71
_space_group_name_Hall '-I 2 2'
_cell_length_a 3.698
_cell_length_b 7.869
_cell_length_c 10.651
_cell_angle_alpha 90.00
_cell_angle_beta 90.00
_cell_angle_gamma 90.00
loop_
_atom_site_label
_atom_site_fract_x
_atom_site_fract_y
_atom_site_fract_z
Cu1 0.000 0.000 0.175
Cu2 0.000 0.231 0.000
Cu3 0.000 0.255 0.332
Pt1 0.000 0.500 0.500
Au1 0.000 0.500 0.142